This record from Alexandria via LeMat-Bulk describes a geometry-optimized La2MgTe structure. The functional is GGA-PBEsol.

## Properties
Energy, eV per atom: -4.606
Polymorph energy (0 for the lowest one), meV per atom: 13
M_tot, Bohr magnetons per cell: 0.00
Energy relative to the elements, uncorrected, eV/atom: -0.62

Cell: 4.5397 4.5397 6.4583 Å, 90.00 90.00 90.00°
Space group P4mm (No. 99)
One atom of each set of equivalent atoms:
La  0.0000  0.0000  0.0000 [1 per cell]
La  0.5000  0.5000  0.4988 [1 per cell]
Mg  0.0000  0.0000  0.5001 [1 per cell]
Te  0.5000  0.5000  0.9988 [1 per cell]

=====

This record from Alexandria via LeMat-Bulk describes a geometry-optimized La2MgTe structure. The functional is GGA-PBEsol.

## Properties
Energy, eV per atom: -4.619
Polymorph energy (0 for the lowest one), meV per atom: 0
M_tot, Bohr magnetons per cell: 0.00
Energy relative to the elements, uncorrected, eV/atom: -0.63

Cell: 4.0197 5.2423 10.9860 Å, 90.00 90.00 90.00°
Space group Imm2 (No. 44)
One atom of each set of equivalent atoms:
La  0.0000  0.0000  0.0000 [2 per cell]
La  0.0000  0.5000  0.2345 [2 per cell]
Mg  0.0000  0.0000  0.4606 [2 per cell]
Te  0.0000  0.5000  0.7452 [2 per cell]

=====

This record from Alexandria via LeMat-Bulk describes a geometry-optimized LaMgTl2 structure. The functional is GGA-PBEsol.

## Properties
Energy, eV per atom: -3.430
Polymorph energy (0 for the lowest one), meV per atom: 18
M_tot, Bohr magnetons per cell: 0.00
Formation energy, eV/atom: -0.349

Cell: 4.8508 4.8508 16.1025 Å, 90.00 90.00 120.00°
Space group R-3m (No. 166, hexagonal axes)
One atom of each set of equivalent atoms:
La  0.0000  0.0000  0.0000 [3 per cell]
Mg  0.0000  0.0000  0.5000 [3 per cell]
Tl  0.0000  0.0000  0.2286 [6 per cell]

=====

This record from Alexandria via LeMat-Bulk describes a geometry-optimized LaMgTl structure. The functional is GGA-PBEsol.

## Properties
Energy, eV per atom: -3.058
M_tot, Bohr magnetons per cell: 0.00
Formation energy, eV/atom: 0.173

Cell: 7.3490 7.3490 7.3490 Å, 90.00 90.00 90.00°
Space group F-43m (No. 216)
One atom of each set of equivalent atoms:
La  0.0000  0.0000  0.0000 [4 per cell]
Mg  0.2500  0.2500  0.2500 [4 per cell]
Tl  0.2500  0.2500  0.7500 [4 per cell]

=====

This record from Alexandria via LeMat-Bulk describes a geometry-optimized LaMgTl2 structure. The functional is GGA-PBEsol.

## Properties
Energy, eV per atom: -3.397
Polymorph energy (0 for the lowest one), meV per atom: 50
M_tot, Bohr magnetons per cell: 0.00
Formation energy, eV/atom: -0.316

Cell: 3.6688 3.6688 7.7373 Å, 90.00 90.00 90.00°
Space group P4/mmm (No. 123)
One atom of each set of equivalent atoms:
La  0.0000  0.0000  0.0000 [1 per cell]
Mg  0.0000  0.0000  0.5000 [1 per cell]
Tl  0.5000  0.5000  0.2820 [2 per cell]

=====

This record from Alexandria via LeMat-Bulk describes a geometry-optimized LaMgTl structure. The functional is GGA-PBEsol.

## Properties
Energy, eV per atom: -3.649
M_tot, Bohr magnetons per cell: 0.00
Formation energy, eV/atom: -0.417

Cell: 7.7496 7.7496 4.7824 Å, 90.00 90.00 120.00°
Space group P-62m (No. 189)
One atom of each set of equivalent atoms:
La  0.0000  0.5740  0.0000 [3 per cell]
Mg  0.0000  0.2426  0.5000 [3 per cell]
Tl  0.0000  0.0000  0.0000 [1 per cell]
Tl  0.3333  0.6667  0.5000 [2 per cell]

=====

This record from Alexandria via LeMat-Bulk describes a geometry-optimized LaMgTl2 structure. The functional is GGA-PBEsol.

## Properties
Energy, eV per atom: -3.334
Polymorph energy (0 for the lowest one), meV per atom: 113
M_tot, Bohr magnetons per cell: 0.00
Formation energy, eV/atom: -0.253

Cell: 4.7420 4.7420 9.6894 Å, 90.00 90.00 90.00°
Space group I-4m2 (No. 119)
One atom of each set of equivalent atoms:
La  0.0000  0.0000  0.0000 [2 per cell]
Mg  0.0000  0.5000  0.7500 [2 per cell]
Tl  0.0000  0.0000  0.5000 [2 per cell]
Tl  0.0000  0.5000  0.2500 [2 per cell]

=====

This record from Alexandria via LeMat-Bulk describes a geometry-optimized LaMgTl2 structure. The functional is GGA-PBEsol.

## Properties
Energy, eV per atom: -3.245
Polymorph energy (0 for the lowest one), meV per atom: 203
M_tot, Bohr magnetons per cell: 0.00
Formation energy, eV/atom: -0.164

Cell: 3.4258 3.4258 31.4324 Å, 90.00 90.00 120.00°
Space group R-3m (No. 166, hexagonal axes)
One atom of each set of equivalent atoms:
La  0.0000  0.0000  0.0000 [3 per cell]
Mg  0.0000  0.0000  0.5000 [3 per cell]
Tl  0.0000  0.0000  0.2434 [6 per cell]

=====

This record from Alexandria via LeMat-Bulk describes a geometry-optimized LaMgTl2 structure. The functional is GGA-PBEsol.

## Properties
Energy, eV per atom: -3.447
Polymorph energy (0 for the lowest one), meV per atom: 0
M_tot, Bohr magnetons per cell: 0.00
Formation energy, eV/atom: -0.366

Cell: 5.3236 5.3236 7.5181 Å, 90.00 90.00 90.00°
Space group I4/mmm (No. 139)
One atom of each set of equivalent atoms:
La  0.0000  0.0000  0.0000 [2 per cell]
Mg  0.0000  0.0000  0.5000 [2 per cell]
Tl  0.0000  0.5000  0.2500 [4 per cell]

=====

This record from Alexandria via LeMat-Bulk describes a geometry-optimized LaMgTl structure. The functional is GGA-PBEsol.

## Properties
Energy, eV per atom: -3.574
M_tot, Bohr magnetons per cell: 0.00
Formation energy, eV/atom: -0.343

Cell: 5.0470 5.0470 3.7256 Å, 90.00 90.00 120.00°
Space group P-6m2 (No. 187)
One atom of each set of equivalent atoms:
La  0.0000  0.0000  0.0000 [1 per cell]
Mg  0.6667  0.3333  0.5000 [1 per cell]
Tl  0.3333  0.6667  0.5000 [1 per cell]

=====

This record from Alexandria via LeMat-Bulk describes a geometry-optimized LaTmMg2 structure. The functional is GGA-PBEsol.

## Properties
Energy, eV per atom: -3.492
M_tot, Bohr magnetons per cell: 0.00
Formation energy, eV/atom: -0.072

Cell: 7.6102 7.6102 7.6102 Å, 90.00 90.00 90.00°
Space group Fm-3m (No. 225)
One atom of each set of equivalent atoms:
La  0.0000  0.0000  0.0000 [4 per cell]
Tm  0.0000  0.0000  0.5000 [4 per cell]
Mg  0.2500  0.2500  0.2500 [8 per cell]

=====

This record from Alexandria via LeMat-Bulk describes a geometry-optimized LaMgW2 structure. The functional is GGA-PBEsol.

## Properties
Energy, eV per atom: -8.238
Polymorph energy (0 for the lowest one), meV per atom: 0
M_tot, Bohr magnetons per cell: 0.00
Formation energy, eV/atom: 0.432

Cell: 3.2635 4.8348 10.1109 Å, 90.00 90.00 90.00°
Space group Cmm2 (No. 35)
One atom of each set of equivalent atoms:
La  0.0000  0.0000  0.0000 [2 per cell]
Mg  0.0000  0.5000  0.3072 [2 per cell]
W  0.0000  0.0000  0.5419 [2 per cell]
W  0.0000  0.5000  0.7382 [2 per cell]